(1)
AlTcN2 | PBE-GGA | relaxed

Properties
mass density = 5.703 g/cm³
E_form (uncorrected) = -0.0982 eV per atom

Cell lengths 2.9680, 2.9680, 17.5197 Å; angles 90.00, 90.00, 120.00 degrees
Last column: nearest neighbours and their distance in Å.
Space group R-3m (No. 166, hexagonal axes)
Inequivalent atoms, fractional coordinates:
Al 0.0000 0.0000 0.0000 (multiplicity 3)  6 N 2.01
Tc 0.0000 0.0000 0.5000 (multiplicity 3)  2 N 1.87
N 0.0000 0.0000 0.3931 (multiplicity 6)  1 Tc 1.87, 3 Al 2.01

---

(2)
KHgPtCl6 | PBE-GGA | relaxed

Properties
mass density = 3.930 g/cm³
E_form (uncorrected) = -0.7918 eV per atom

Cell lengths 7.1100, 11.2637, 6.8452 Å; angles 90.00, 93.39, 90.00 degrees
Last column: nearest neighbours and their distance in Å.
Space group C2 (No. 5)
Inequivalent atoms, fractional coordinates:
K 0.0000 0.0000 0.0000 (multiplicity 2)  6 Cl 3.18-3.23
Hg 0.0000 0.6819 0.5000 (multiplicity 2)  6 Cl 2.59-2.87
Pt 0.0000 0.3330 0.5000 (multiplicity 2)  4 Cl 2.34-2.35
Cl 0.1335 0.4833 0.7002 (multiplicity 4)  1 Pt 2.34
Cl 0.1557 0.1887 0.6974 (multiplicity 4)  1 Pt 2.35
Cl 0.2070 0.8189 0.7271 (multiplicity 4)  1 Hg 2.59, 1 Pt 2.68

---

(3)
Na4Np2O9 | PBE-GGA | relaxed

Properties
mass density = 5.213 g/cm³
E_form (uncorrected) = -2.2115 eV per atom

Cell lengths 10.0528, 5.8017, 15.5102 Å; angles 90.00, 90.03, 90.00 degrees
Last column: nearest neighbours and their distance in Å.
Space group C2/c (No. 15)
Inequivalent atoms, fractional coordinates:
Na 0.1665 0.0003 0.0174 (multiplicity 8)  6 O 2.45-2.57
Na 0.1668 0.0009 0.3077 (multiplicity 8)  6 O 2.35-2.50
Np 0.0000 0.4991 0.6496 (multiplicity 8)  6 O 1.94-2.17
O 0.0000 0.2394 0.2500 (multiplicity 4)  2 Np 2.17, 2 Na 2.35
O 0.0147 0.2045 0.9093 (multiplicity 8)  1 Np 1.94
O 0.1307 0.3683 0.7499 (multiplicity 8)  2 Np 2.17, 2 Na 2.35
O 0.1401 0.3318 0.4093 (multiplicity 8)  1 Np 1.94
O 0.1544 0.3752 0.0908 (multiplicity 8)  1 Np 1.94

---

(4)
Ba4GeHI2 | PBE-GGA | relaxed

Properties
mass density = 4.525 g/cm³
E_tot = -26.07 eV for the cell shown

Cell lengths 7.9115, 4.8336, 8.8623 Å; angles 90.00, 108.33, 90.00 degrees
Last column: nearest neighbours and their distance in Å.
Space group P2/m (No. 10)
Inequivalent atoms, fractional coordinates:
Ba 0.2425 0.0000 0.2115 (multiplicity 2)  1 Ge 3.17, 2 H 3.28
Ba 0.2538 0.5000 0.7975 (multiplicity 2)  1 H 3.09, 2 Ge 3.26
Ge 0.5000 0.0000 0.0000 (multiplicity 1)  6 Ba 3.17-3.26
H 0.0000 0.5000 0.0000 (multiplicity 1)  6 Ba 3.09-3.28
I 0.0000 0.0000 0.5000 (multiplicity 1)  6 Ba 3.65-3.67
I 0.5000 0.5000 0.5000 (multiplicity 1)  6 Ba 3.64-3.74

---

What is the mass density in the third record? 5.213 g/cm³

---

Among the records above, which one has the lowest mass density? KHgPtCl6

---

Which value of mass density does entry 1 give? 5.703 g/cm³